VO3F | PBE+U | relaxed

Values from the calculation:
Raw total energy, Ry per atom: -0.4185

abc: 3.7586 3.7586 3.7586
angles: 90.00 90.00 90.00
With the nearest neighbours (Å) after each atom.
Fractional coordinates of all 5 atoms:
V  0.0000  0.0000  0.0000  6 O 1.88
O  0.0000  0.0000  0.5000  2 V 1.88
O  0.0000  0.5000  0.0000  2 V 1.88
O  0.5000  0.0000  0.0000  2 V 1.88
F  0.5000  0.5000  0.5000  12 O 2.66